The following is a DFT calculation (PBEsol) of a geometry-optimized SrYAl2 structure.

Unit cell a=3.5149 b=4.5589 c=6.6361 alpha=90.00 beta=90.00 gamma=90.00
Closest atoms and distances in Å follow each position.
Fractional positions:
Sr (0.0000, 0.0000, 0.0000)  6 Al 3.23-3.41, 2 Sr 3.51, 4 Y 3.61
Y (0.5000, 0.5000, 0.3282)  5 Al 2.90-3.13
Al (0.0000, 0.0000, 0.5132)  4 Y 3.13, 2 Sr 3.23-3.41, 4 Al 3.33
Al (0.5000, 0.5000, 0.7651)  1 Y 2.90

Properties
For the formation energy, the calculation gives 8.50 kJ/mol of atoms. Its magnetic moment is 0.00 μB per cell. Its distance to the lowest polymorph of the same formula is 0.3451 eV per atom. For the density of states at the Fermi level, the calculation gives 2.66 states/eV/cell.

The following is a DFT calculation (PBEsol) of a geometry-optimized Sr2YAl structure.

Unit cell a=6.2777 b=6.2777 c=6.2777 alpha=133.62 beta=133.62 gamma=67.68
Closest atoms and distances in Å follow each position.
Fractional positions:
Sr (0.2500, 0.7500, 0.5000)  4 Sr 3.50, 4 Al 3.59, 4 Y 3.59
Sr (0.7500, 0.2500, 0.5000)  4 Sr 3.50, 4 Al 3.59, 4 Y 3.59
Y (0.0000, 0.0000, 0.0000)  4 Al 3.50, 8 Sr 3.59
Al (0.5000, 0.5000, 0.0000)  4 Y 3.50, 8 Sr 3.59

Properties
For the formation energy, the calculation gives 10.79 kJ/mol of atoms. Its magnetic moment is 0.00 μB per cell. For the density of states at the Fermi level, the calculation gives 2.68 states/eV/cell.

The following is a DFT calculation (PBEsol) of a geometry-optimized SrY2Al structure.

Unit cell a=6.7908 b=6.7908 c=6.7908 alpha=148.66 beta=131.20 gamma=59.15
Closest atoms and distances in Å follow each position.
Fractional positions:
Sr (0.0000, 0.0000, 0.0000)  4 Al 3.35, 2 Sr 3.67, 4 Y 3.73
Y (0.2915, 0.7915, 0.5000)  2 Al 3.07
Y (0.7085, 0.2085, 0.5000)  2 Al 3.07
Al (0.5000, 0.5000, 0.0000)  4 Y 3.07, 4 Sr 3.35

Properties
For the formation energy, the calculation gives -7.32 kJ/mol of atoms. Its magnetic moment is 0.00 μB per cell. For the density of states at the Fermi level, the calculation gives 4.87 states/eV/cell.

The following is a DFT calculation (PBEsol) of a geometry-optimized SrYAl2 structure.

Unit cell a=5.2219 b=5.2219 c=5.2219 alpha=60.00 beta=60.00 gamma=60.00
Closest atoms and distances in Å follow each position.
Fractional positions:
Sr (0.0000, 0.0000, 0.0000)  4 Al 3.20, 4 Y 3.20
Y (0.7500, 0.7500, 0.7500)  4 Al 3.20, 4 Sr 3.20
Al (0.2500, 0.2500, 0.2500)  4 Al 3.20, 4 Sr 3.20
Al (0.5000, 0.5000, 0.5000)  4 Al 3.20, 4 Y 3.20

Properties
For the formation energy, the calculation gives 20.69 kJ/mol of atoms. Its magnetic moment is 0.00 μB per cell. Its distance to the lowest polymorph of the same formula is 0.4715 eV per atom. For the density of states at the Fermi level, the calculation gives 5.43 states/eV/cell.

The following is a DFT calculation (PBEsol) of a geometry-optimized SrYAl2 structure.

Unit cell a=7.2108 b=7.2108 c=7.2108 alpha=36.14 beta=36.14 gamma=36.14
Closest atoms and distances in Å follow each position.
Fractional positions:
Sr (0.0000, 0.0000, 0.0000)  6 Al 3.37-3.61, 3 Y 3.77
Y (0.8030, 0.8030, 0.8030)  6 Al 2.97-3.15
Al (0.2087, 0.2087, 0.2087)  3 Al 2.61
Al (0.5593, 0.5593, 0.5593)  3 Al 2.61

Properties
For the formation energy, the calculation gives -12.16 kJ/mol of atoms. Its magnetic moment is 0.00 μB per cell. Its distance to the lowest polymorph of the same formula is 0.1310 eV per atom. For the density of states at the Fermi level, the calculation gives 3.64 states/eV/cell.

The following is a DFT calculation (PBEsol) of a geometry-optimized SrYAl2 structure.

Unit cell a=3.7482 b=3.7482 c=7.3607 alpha=90.00 beta=90.00 gamma=90.00
Closest atoms and distances in Å follow each position.
Fractional positions:
Sr (0.0000, 0.0000, 0.0000)  8 Al 3.40, 2 Y 3.68, 4 Sr 3.75
Y (0.0000, 0.0000, 0.5000)  8 Al 3.07
Al (0.5000, 0.5000, 0.2885)  4 Y 3.07, 1 Al 3.11, 4 Sr 3.40
Al (0.5000, 0.5000, 0.7115)  4 Y 3.07, 1 Al 3.11, 4 Sr 3.40

Properties
For the formation energy, the calculation gives -24.80 kJ/mol of atoms. Its magnetic moment is 0.00 μB per cell. Its distance to the lowest polymorph of the same formula is 0.0000 eV per atom. For the density of states at the Fermi level, the calculation gives 2.22 states/eV/cell.

The following is a DFT calculation (PBEsol) of a geometry-optimized SrYAl4 structure.

Unit cell a=5.6464 b=5.6464 c=5.6464 alpha=60.00 beta=60.00 gamma=60.00
Closest atoms and distances in Å follow each position.
Fractional positions:
Sr (0.0000, 0.0000, 0.0000)  12 Al 3.31, 4 Y 3.46
Y (0.2500, 0.2500, 0.2500)  12 Al 3.31, 4 Sr 3.46
Al (0.1266, 0.6245, 0.6245)  6 Al 2.81-2.83
Al (0.6245, 0.1266, 0.6245)  6 Al 2.81-2.83
Al (0.6245, 0.6245, 0.1266)  6 Al 2.81-2.83
Al (0.6245, 0.6245, 0.6245)  6 Al 2.81-2.83

Properties
For the formation energy, the calculation gives -35.68 kJ/mol of atoms. Its magnetic moment is 0.00 μB per cell. For the density of states at the Fermi level, the calculation gives 2.72 states/eV/cell.

The following is a DFT calculation (PBEsol) of a geometry-optimized Sr2AlZn structure.

Unit cell a=3.8354 b=3.8354 c=7.8289 alpha=90.00 beta=90.00 gamma=90.00
Closest atoms and distances in Å follow each position.
Fractional positions:
Sr (0.0000, 0.0000, 0.2449)  4 Zn 3.32, 4 Al 3.37
Sr (0.0000, 0.0000, 0.7551)  4 Zn 3.32, 4 Al 3.37
Al (0.5000, 0.5000, 0.5000)  8 Sr 3.37
Zn (0.5000, 0.5000, 0.0000)  8 Sr 3.32

Properties
For the formation energy, the calculation gives -11.26 kJ/mol of atoms. Its magnetic moment is 0.00 μB per cell. For the density of states at the Fermi level, the calculation gives 2.55 states/eV/cell.